[1]
Below is crystalline ReTeRh at its relaxed geometry, with properties calculated at the PBE level.

Output
For the uncorrected formation energy, the calculation gives 0.48 eV per atom. Its crystal system is hexagonal. For the raw total energy, the calculation gives -7.17 eV/atom. For the energy above the lowest structure with this stoichiometry, the calculation gives 0.32 eV per formula unit.

a b c (Å): 3.086 3.086 12.580
angles (deg): 90.00 90.00 120.00
Atoms (fractional coordinates):
Re 0.111 0.222 0.162
Te 0.778 0.555 0.671
Rh 0.444 0.888 0.500
Rh 0.445 0.889 0.000
Te 0.778 0.555 0.329
Re 0.111 0.222 0.838

***

[2]
Below is crystalline NaSrLi2Cu at its relaxed geometry, with properties calculated at the PBE level.

Output
Its crystal system is tetragonal. The formation energy is 14.9 kJ/mol of atoms. For the raw total energy, the calculation gives -2.03 eV/atom.

a b c (Å): 5.177 5.177 5.798
angles (deg): 90.00 90.00 90.00
Atoms (fractional coordinates):
Na 0.500 0.500 0.500
Cu 0.000 0.000 0.000
Li 0.500 0.000 0.000
Li 0.000 0.500 0.000
Sr 0.000 0.000 0.500